Record 1
A relaxed structure of LiPt6. Source: Alexandria, functional PBE.

Computed properties:
* VASP energy: -4.89 eV per atom
* mass density: 11.14 Mg/m³
* total magnetization: 0.328 μB per atom

```
LiPt6
1.0
-2.279 4.965 -2.735
-0.284 -4.749 -3.834
-3.258 -1.237 5.019
Pt Li
6 1
direct
0.250 0.750 0.500
0.250 0.500 0.750
0.500 0.250 0.750
0.500 0.750 0.250
0.750 0.500 0.250
0.750 0.250 0.500
0.000 0.000 0.000
```



Record 2
A relaxed structure of Li4Pt3. Source: Alexandria, functional PBE.

Computed properties:
* mass density: 10.78 Mg/m³
* total magnetization: 0.000 μB per atom
* offset from the most stable computed form: 89 meV/atom

```
Li4Pt3
1.0
0.138 -1.123 10.800
-3.966 -1.593 9.983
2.196 -0.717 -10.611
Li Pt
4 3
direct
0.432 0.432 0.000
0.568 0.568 0.000
0.860 0.860 0.000
0.140 0.140 0.000
0.705 0.705 0.000
0.000 0.000 0.000
0.295 0.295 0.000
```



Record 3
A relaxed structure of Li4Pt. Source: Alexandria, functional PBE.

Computed properties:
* mass density: 4.44 Mg/m³
* total magnetization: 0.000 μB per atom
* offset from the most stable computed form: 55 meV/atom

```
Li4Pt
1.0
-0.100 0.548 4.668
-2.025 -4.092 0.436
6.969 -3.312 0.538
Pt Li
2 8
direct
0.500 0.000 0.500
0.000 0.000 0.000
0.536 0.001 0.833
0.293 0.500 0.390
0.793 0.500 0.110
0.707 0.500 0.610
0.207 0.500 0.890
0.464 0.999 0.167
0.964 0.001 0.333
0.036 0.999 0.667
```



Record 4
A relaxed structure of Li2Pt. Source: Alexandria, functional PBE.

Computed properties:
* mass density: 6.61 Mg/m³
* total magnetization: 0.000 μB per atom
* offset from the most stable computed form: 325 meV/atom

```
Li2Pt
1.0
5.943 0.000 0.000
0.000 5.943 0.000
0.000 0.000 5.943
Pt Li
4 8
direct
0.500 0.500 0.000
0.000 0.000 0.000
0.500 0.000 0.500
0.000 0.500 0.500
0.750 0.750 0.750
0.250 0.250 0.250
0.750 0.250 0.750
0.250 0.750 0.750
0.250 0.750 0.250
0.250 0.250 0.750
0.750 0.750 0.250
0.750 0.250 0.250
```